Entry 1:
Sm4TePd2, optimized geometry, DFT PBE; uncorrected energy = -5.304 eV per atom; crystal system = monoclinic; SG = C2/c (15)
1.0
8.802 0.299 -0.150
-0.336 8.801 0.152
-4.117 -4.657 6.201
Sm Pd Te
8 4 2
direct
0.857 0.143 0.715 Sm
0.428 0.142 0.285 Sm
0.822 0.608 0.215 Sm
0.393 0.607 0.215 Sm
0.858 0.572 0.715 Sm
0.857 0.143 0.285 Sm
0.392 0.178 0.785 Sm
0.393 0.607 0.785 Sm
0.625 0.875 0.250 Pd
0.625 0.375 0.750 Pd
0.125 0.375 0.750 Pd
0.625 0.375 0.250 Pd
0.250 0.750 0.500 Te
0.000 0.000 0.000 Te

=====

Entry 2:
Sm8Te2Pd3, optimized geometry, DFT PBE; uncorrected energy = -5.202 eV per atom; crystal system = monoclinic; SG = C2/m (12)
1.0
-4.970 -2.470 -4.435
5.541 -5.035 -3.406
-2.997 -2.090 8.145
Sm Te Pd
8 2 3
direct
0.875 0.596 0.192 Sm
0.403 0.852 0.211 Sm
0.096 0.899 0.797 Sm
0.403 0.359 0.211 Sm
0.597 0.148 0.789 Sm
0.597 0.641 0.789 Sm
0.125 0.404 0.808 Sm
0.904 0.101 0.203 Sm
0.659 0.751 0.501 Te
0.341 0.249 0.499 Te
0.000 0.256 0.000 Pd
0.000 0.744 0.000 Pd
0.500 0.000 0.000 Pd

=====

Entry 3:
SmTePd5, optimized geometry, DFT PBE; uncorrected energy = -5.379 eV per atom; crystal system = orthorhombic; SG = Pnma (62)
1.0
-2.305 -3.331 3.823
6.581 1.867 5.595
-5.603 8.274 3.830
Sm Pd Te
4 20 4
direct
0.750 0.242 0.452 Sm
0.250 0.258 0.952 Sm
0.750 0.742 0.048 Sm
0.250 0.758 0.548 Sm
0.750 0.906 0.522 Pd
0.750 0.316 0.723 Pd
0.506 0.441 0.205 Pd
0.250 0.927 0.070 Pd
0.250 0.594 0.022 Pd
0.506 0.941 0.295 Pd
0.494 0.559 0.795 Pd
0.994 0.941 0.295 Pd
0.750 0.816 0.777 Pd
0.994 0.441 0.205 Pd
0.494 0.059 0.705 Pd
0.750 0.573 0.570 Pd
0.006 0.559 0.795 Pd
0.006 0.059 0.705 Pd
0.750 0.073 0.930 Pd
0.250 0.427 0.430 Pd
0.250 0.684 0.277 Pd
0.250 0.184 0.223 Pd
0.750 0.406 0.978 Pd
0.250 0.094 0.478 Pd
0.750 0.672 0.344 Te
0.250 0.828 0.844 Te
0.250 0.328 0.656 Te
0.750 0.172 0.156 Te

=====

Entry 4:
SmTePd, optimized geometry, DFT PBE; uncorrected energy = -5.184 eV per atom; crystal system = tetragonal; SG = I4mm (107)
1.0
4.040 0.000 0.000
0.000 4.040 0.000
-2.020 -2.020 4.553
Pd Te Sm
1 1 1
direct
0.272 0.272 0.545 Pd
0.962 0.962 0.924 Te
0.616 0.616 0.232 Sm

=====

Entry 5:
SmTePd4, optimized geometry, DFT PBE; uncorrected energy = -5.308 eV per atom; crystal system = cubic; SG = F-43m (216)
1.0
5.460 0.000 0.000
2.730 4.729 0.000
2.730 1.576 4.458
Sm Pd Te
1 4 1
direct
0.000 0.000 0.000 Sm
0.626 0.626 0.626 Pd
0.626 0.123 0.626 Pd
0.123 0.626 0.626 Pd
0.626 0.626 0.123 Pd
0.250 0.250 0.250 Te

=====

Entry 6:
Sm2Te3Pd, optimized geometry, DFT PBE; uncorrected energy = -5.256 eV per atom; crystal system = orthorhombic; SG = Pnma (62)
1.0
4.400 0.000 0.000
0.000 12.066 0.000
0.000 0.000 12.591
Sm Te Pd
8 12 4
direct
0.750 0.017 0.705 Sm
0.750 0.483 0.205 Sm
0.250 0.983 0.295 Sm
0.250 0.517 0.795 Sm
0.750 0.311 0.536 Sm
0.250 0.811 0.964 Sm
0.750 0.189 0.036 Sm
0.250 0.689 0.464 Sm
0.250 0.822 0.694 Te
0.250 0.120 0.541 Te
0.250 0.064 0.886 Te
0.250 0.380 0.041 Te
0.750 0.620 0.959 Te
0.250 0.436 0.386 Te
0.250 0.678 0.194 Te
0.750 0.178 0.306 Te
0.750 0.322 0.806 Te
0.750 0.880 0.459 Te
0.750 0.936 0.114 Te
0.750 0.564 0.614 Te
0.250 0.250 0.713 Pd
0.250 0.250 0.213 Pd
0.750 0.750 0.787 Pd
0.750 0.750 0.287 Pd

=====

Q: The highest uncorrected energy belongs to which entry?
A: SmTePd

=====

Q: Look up the uncorrected energy of the sixth one.
A: -5.256 eV per atom

=====

Q: uncorrected energy of number 4 (SmTePd)?
A: -5.184 eV per atom

=====

Q: Number 1 is which compound?
A: Sm4TePd2